Entry 1:
Density functional theory data (PBE-GGA) for a relaxed structure of KRe2Si.

Results
Crystal system   monoclinic
Energy relative to the elements, uncorrected   0.54 eV/atom

POSCAR file:
```
KRe2Si
1.0
4.387 0.004 -0.002
3.486 2.664 -0.002
0.496 0.168 7.360
K Re Si
1 2 1
direct
0.242 0.242 0.261
0.012 0.012 0.896
0.761 0.761 0.748
0.485 0.485 0.595
```

Entry 2:
Density functional theory data (PBE-GGA) for a relaxed structure of HfSeBr2.

Results
Crystal system   cubic
Energy above the lowest structure with this stoichiometry   832 meV/atom
Energy relative to the elements, uncorrected   -0.11 eV/atom

POSCAR file:
```
HfSeBr2
1.0
-3.914 -2.841 0.948
-4.520 1.964 0.036
-3.187 -1.085 -3.600
Hf Se Br
1 1 2
direct
0.500 0.500 0.500
0.000 0.000 0.000
0.250 0.250 0.250
0.750 0.750 0.750
```

Entry 3:
Density functional theory data (PBE-GGA) for a relaxed structure of YCrP2.

Results
Energy relative to the elements   -0.806 eV per atom
Crystal system   trigonal
Energy above the lowest structure with this stoichiometry   100 meV/atom

POSCAR file:
```
YCrP2
1.0
3.740 0.036 0.012
1.841 3.256 0.012
1.843 1.087 6.015
Cr P Y
1 2 1
direct
0.328 0.328 0.017
0.935 0.935 0.194
0.732 0.732 0.802
0.505 0.505 0.486
```

Entry 4:
Density functional theory data (PBE-GGA) for a relaxed structure of Zr3ZnSb.

Results
Crystal system   cubic
Energy above the lowest structure with this stoichiometry   0 meV/atom
Energy relative to the elements, uncorrected   0.25 eV/atom

POSCAR file:
```
Zr3ZnSb
1.0
-1.271 -4.753 0.593
3.537 -1.345 -3.200
3.230 -0.398 3.737
Sb Zn Zr
1 1 3
direct
0.500 0.500 0.500
0.000 0.000 0.000
0.000 0.500 0.000
0.000 0.000 0.500
0.500 0.000 0.000
```

Entry 5:
Density functional theory data (PBE-GGA) for a relaxed structure of RbCuTe2.

Results
Crystal system   trigonal
Energy relative to the elements, uncorrected   -0.04 eV/atom

POSCAR file:
```
RbCuTe2
1.0
0.252 -7.520 6.730
0.332 -9.542 3.280
3.718 -8.060 4.809
Te Cu Rb
2 1 1
direct
0.883 0.883 0.883
0.117 0.117 0.117
0.500 0.500 0.500
0.000 0.000 0.000
```

Entry 6:
Density functional theory data (PBE-GGA) for a relaxed structure of ZnCdPd.

Results
Energy relative to the elements   -0.290 eV per atom
Crystal system   trigonal
Energy above the lowest structure with this stoichiometry   40 meV/atom

POSCAR file:
```
ZnCdPd
1.0
2.966 0.000 0.000
0.000 4.443 0.000
0.000 -2.222 3.848
Zn Pd Cd
1 1 1
direct
0.178 0.667 0.333
0.158 0.000 0.000
0.664 0.333 0.667
```

Number 1: total magnetic moment 0.00 Bohr magnetons per cell. Number 2: total magnetic moment 0.00 Bohr magnetons per cell. Number 3: total magnetic moment 2.55 Bohr magnetons per cell. Number 4: total magnetic moment 0.00 Bohr magnetons per cell. Number 5: total magnetic moment 0.00 Bohr magnetons per cell. Number 6: total magnetic moment 0.00 Bohr magnetons per cell.